No. 1
First-principles (PBE) data for AlP3 after structural relaxation, as listed in Alexandria.

It has space group Fm-3m (No. 225), with a = 6.170 Å, b = 6.170 Å, c = 6.170 Å, α = 90.00°, β = 90.00° and γ = 90.00°. The asymmetric unit holds Al at (0.000, 0.000, 0.000), P at (0.000, 0.000, 0.500) and P at (0.250, 0.250, 0.250).

For the energy, the calculation gives -72.90 eV per cell.

No. 2
First-principles (PBE) data for Al2P after structural relaxation, as listed in Alexandria.

It has space group Cmcm (No. 63), with a = 3.365 Å, b = 17.441 Å, c = 3.519 Å, α = 90.00°, β = 90.00° and γ = 90.00°. The asymmetric unit holds Al at (0.000, 0.065, 0.250), Al at (0.000, 0.208, 0.750) and P at (0.000, 0.400, 0.250).

For the energy, the calculation gives -52.09 eV per cell.

No. 3
First-principles (PBE) data for AlP after structural relaxation, as listed in Alexandria.

It has space group Cmcm (No. 63), with a = 3.349 Å, b = 12.957 Å, c = 3.560 Å, α = 90.00°, β = 90.00° and γ = 90.00°. The asymmetric unit holds Al at (0.000, 0.177, 0.250) and P at (0.000, 0.367, 0.250).

For the energy, the calculation gives -38.01 eV per cell.

No. 4
First-principles (PBE) data for AlP after structural relaxation, as listed in Alexandria.

It has space group P4/mbm (No. 127), with a = 7.749 Å, b = 7.749 Å, c = 5.468 Å, α = 90.00°, β = 90.00° and γ = 90.00°. The asymmetric unit holds Al at (0.140, 0.360, 0.000) and P at (0.154, 0.654, 0.000).

For the energy, the calculation gives -36.17 eV per cell.

No. 5
First-principles (PBE) data for Al2P after structural relaxation, as listed in Alexandria.

It has space group P6_3/mmc (No. 194), with a = 3.5798 Å, b = 3.5798 Å, c = 9.6577 Å, α = 90.00°, β = 90.00° and γ = 120.00°. The asymmetric unit holds Al at (0.3333, 0.6667, 0.1019) and P at (0.0000, 0.0000, 0.2500).

For the energy, the calculation gives -26.75 eV per cell.

No. 6
First-principles (PBE) data for Al5P after structural relaxation, as listed in Alexandria.

It has space group P4/mmm (No. 123), with a = 2.990 Å, b = 2.990 Å, c = 10.881 Å, α = 90.00°, β = 90.00° and γ = 90.00°. The asymmetric unit holds Al at (0.000, 0.000, 0.000), Al at (0.000, 0.000, 0.356), Al at (0.500, 0.500, 0.178) and P at (0.500, 0.500, 0.500).

For the energy, the calculation gives -23.81 eV per cell. The calculation puts the energy above the lowest structure with this stoichiometry at 0.0163 eV per atom.